Computed, not measured: a relaxed TbUZn crystal at the GGA-PBE level of DFT.

As for the polymorph energy (0 for the lowest one): 0 meV/atom. As for the total magnetization: 3.1 μB/f.u. Its volume is 309.0 Å³ per cell. For the calculated formation energy, the calculation gives 0.6513 eV per atom.

The structure belongs to space group F-43m (No. 216); the cell edges are 6.7606, 6.7606 and 6.7606 Å and the angles 90.00°, 90.00° and 90.00°. The distinct sites, in fractional coordinates, are Tb at (0.0000, 0.0000, 0.0000), U at (0.0000, 0.0000, 0.5000) and Zn at (0.2500, 0.2500, 0.2500).